A plane-wave DFT calculation with PBE+U was carried out for a relaxed structure of VSN2F.

Results
Spin magnetization = 0.361 μB/atom
Volume = 13.48 Å³ per atom
Relative energy among the computed polymorphs = 0.178 eV per atom

Lattice parameters (Å, degrees): 3.7516 3.7516 4.7884 90.00 90.00 90.00
Closest atoms and distances in Å follow each position.
Space group P4/mmm (No. 123)
Unique sites:
V: 0.0000 0.0000 0.0000 x1  4 N 1.88
S: 0.0000 0.0000 0.5000 x1  2 V 2.39, 4 F 2.65
N: 0.0000 0.5000 0.0000 x2  2 V 1.88
F: 0.5000 0.5000 0.5000 x1  4 S 2.65